ZrCuPt3 | GGA-PBE | relaxed

Lattice parameters (Å, degrees): 4.957 4.957 4.957 90.00 90.00 90.00
Atoms (fractional coordinates):
Zr  0.000  0.000  0.000
Cu  0.500  0.500  0.500
Pt  0.000  0.000  0.500
Pt  0.000  0.500  0.000
Pt  0.500  0.000  0.000

Computed properties:
Final energy = -5.194 eV per atom
E_form = 4.8 eV/f.u.
Space-group type = Pm-3m (221)

***

Pm4ZnGe | GGA-PBE | relaxed

Lattice parameters (Å, degrees): 5.050 5.050 7.129 90.00 90.00 90.00
Atoms (fractional coordinates):
Pm  0.000  0.500  0.247
Pm  0.000  0.500  0.753
Pm  0.500  0.000  0.247
Pm  0.500  0.000  0.753
Zn  0.000  0.000  0.000
Ge  0.500  0.500  0.500

Computed properties:
Final energy = -4.380 eV per atom
E_form = -1.4 eV/f.u.
Space-group type = P4/mmm (123)

***

TeSeO3 | GGA-PBE | relaxed

Lattice parameters (Å, degrees): 4.018 4.018 4.018 90.00 90.00 90.00
Atoms (fractional coordinates):
Te  0.000  0.000  0.000
Se  0.500  0.500  0.500
O  0.000  0.500  0.500
O  0.500  0.000  0.500
O  0.500  0.500  0.000

Computed properties:
Formation energy from raw total energies = 0.46 eV per formula unit
Final energy = -4.208 eV per atom
Space-group type = Pm-3m (221)

***

Ho4CdInAg2 | GGA-PBE | relaxed

Lattice parameters (Å, degrees): 9.035 9.035 9.035 33.52 33.52 33.52
Atoms (fractional coordinates):
Ho  0.124  0.124  0.124
Ho  0.374  0.374  0.374
Ho  0.626  0.626  0.626
Ho  0.876  0.876  0.876
Cd  0.000  0.000  0.000
In  0.500  0.500  0.500
Ag  0.251  0.251  0.251
Ag  0.749  0.749  0.749

Computed properties:
Final energy = -3.809 eV per atom
E_form = -2.8 eV/f.u.
Space-group type = R-3m (166)

***

Ba2BO | GGA-PBE | relaxed

Lattice parameters (Å, degrees): 6.908 6.908 6.908 116.97 116.97 95.34
Atoms (fractional coordinates):
Ba  0.070  0.125  0.445
Ba  0.375  0.930  0.055
Ba  0.680  0.625  0.555
Ba  0.875  0.320  0.945
B  0.250  0.750  0.500
B  0.500  0.500  0.000
O  0.000  0.000  0.000
O  0.750  0.250  0.500

Computed properties:
Formation energy from raw total energies = -2.06 eV per formula unit
Final energy = -4.386 eV per atom
Space-group type = I-42d (122)

***

ZrFeI2N | GGA-PBE | relaxed

Lattice parameters (Å, degrees): 5.940 5.940 4.001 90.00 90.00 90.00
Atoms (fractional coordinates):
Zr  0.000  0.000  0.000
Fe  0.500  0.500  0.500
I  0.000  0.500  0.000
I  0.500  0.000  0.000
N  0.000  0.000  0.500

Computed properties:
Formation energy from raw total energies = 1.85 eV per formula unit
Final energy = -5.317 eV per atom
Space-group type = P4/mmm (123)

***

Ca2MgAlGa6 | GGA-PBE | relaxed

Lattice parameters (Å, degrees): 12.859 12.859 12.859 29.60 29.60 29.60
Atoms (fractional coordinates):
Ca  0.108  0.108  0.108
Ca  0.280  0.280  0.280
Ca  0.720  0.720  0.720
Ca  0.892  0.892  0.892
Mg  0.425  0.425  0.425
Mg  0.575  0.575  0.575
Al  0.000  0.000  0.000
Al  0.500  0.500  0.500
Ga  0.061  0.670  0.670
Ga  0.228  0.228  0.635
Ga  0.228  0.635  0.228
Ga  0.330  0.330  0.939
Ga  0.330  0.939  0.330
Ga  0.365  0.772  0.772
Ga  0.635  0.228  0.228
Ga  0.670  0.061  0.670
Ga  0.670  0.670  0.061
Ga  0.772  0.365  0.772
Ga  0.772  0.772  0.365
Ga  0.939  0.330  0.330

Computed properties:
Final energy = -2.915 eV per atom
E_form = -1.6 eV/f.u.
Space-group type = R-3m (166)

***

ReN2 | GGA-PBE | relaxed

Lattice parameters (Å, degrees): 2.925 2.925 7.787 90.00 90.00 120.00
Atoms (fractional coordinates):
Re  0.333  0.667  0.250
Re  0.667  0.333  0.750
N  0.000  0.000  0.086
N  0.000  0.000  0.414
N  0.000  0.000  0.586
N  0.000  0.000  0.914

Computed properties:
Formation energy from raw total energies = 1.14 eV per formula unit
Final energy = -9.320 eV per atom
Space-group type = P6_3/mmc (194)

***

KSn2Ge2 | GGA-PBE | relaxed

Lattice parameters (Å, degrees): 8.639 8.639 3.883 90.00 90.00 90.00
Atoms (fractional coordinates):
K  0.000  0.000  0.000
K  0.500  0.500  0.000
Sn  0.135  0.365  0.500
Sn  0.365  0.865  0.500
Sn  0.635  0.135  0.500
Sn  0.865  0.635  0.500
Ge  0.117  0.617  0.000
Ge  0.383  0.117  0.000
Ge  0.617  0.883  0.000
Ge  0.883  0.383  0.000

Computed properties:
Final energy = -3.673 eV per atom
E_form = 0.0 eV/f.u.
Space-group type = P4/mbm (127)

***

Sm6TlCd5 | GGA-PBE | relaxed

Lattice parameters (Å, degrees): 8.535 8.535 7.689 90.00 90.00 143.20
Atoms (fractional coordinates):
Sm  0.000  0.000  0.249
Sm  0.000  0.000  0.751
Sm  0.333  0.667  0.248
Sm  0.333  0.667  0.752
Sm  0.667  0.333  0.248
Sm  0.667  0.333  0.752
Tl  0.500  0.500  0.500
Cd  0.167  0.833  0.000
Cd  0.169  0.831  0.500
Cd  0.500  0.500  0.000
Cd  0.831  0.169  0.500
Cd  0.833  0.167  0.000

Computed properties:
Final energy = -3.265 eV per atom
E_form = -3.9 eV/f.u.
Space-group type = Cmmm (65)

***

HoTm4 | GGA-PBE | relaxed

Lattice parameters (Å, degrees): 7.566 7.566 7.566 105.53 105.53 117.67
Atoms (fractional coordinates):
Ho  0.375  0.625  0.750
Ho  0.625  0.375  0.250
Tm  0.162  0.728  0.434
Tm  0.206  0.272  0.934
Tm  0.272  0.206  0.434
Tm  0.272  0.838  0.066
Tm  0.728  0.162  0.934
Tm  0.728  0.794  0.566
Tm  0.794  0.728  0.066
Tm  0.838  0.272  0.566

Computed properties:
Final energy = -4.036 eV per atom
E_form = 2.3 eV/f.u.
Space-group type = I4_1/amd (141)

***

Sc2ZnCd3 | GGA-PBE | relaxed

Lattice parameters (Å, degrees): 3.211 4.743 8.242 90.00 90.00 90.00
Atoms (fractional coordinates):
Sc  0.000  0.000  0.000
Sc  0.000  0.500  0.483
Zn  0.500  0.000  0.321
Cd  0.500  0.000  0.647
Cd  0.500  0.500  0.165
Cd  0.500  0.500  0.824

Computed properties:
Final energy = -3.027 eV per atom
E_form = -1.5 eV/f.u.
Space-group type = Pmm2 (25)

***

SrRe2Ni | GGA-PBE | relaxed

Lattice parameters (Å, degrees): 2.811 4.701 5.292 90.00 90.00 90.00
Atoms (fractional coordinates):
Sr  0.000  0.000  0.000
Re  0.000  0.500  0.500
Re  0.500  0.000  0.500
Ni  0.500  0.500  0.000

Computed properties:
Final energy = -7.214 eV per atom
E_form = 3.5 eV/f.u.
Space-group type = Pmmm (47)

***

RbTm2CuO4 | GGA-PBE | relaxed

Lattice parameters (Å, degrees): 6.084 6.084 11.755 90.00 90.00 147.16
Atoms (fractional coordinates):
Rb  0.101  0.899  0.750
Rb  0.899  0.101  0.250
Tm  0.366  0.634  0.560
Tm  0.366  0.634  0.940
Tm  0.634  0.366  0.060
Tm  0.634  0.366  0.440
Cu  0.174  0.826  0.250
Cu  0.826  0.174  0.750
O  0.000  0.000  0.000
O  0.000  0.000  0.500
O  0.252  0.748  0.094
O  0.252  0.748  0.406
O  0.417  0.583  0.750
O  0.583  0.417  0.250
O  0.748  0.252  0.594
O  0.748  0.252  0.906

Computed properties:
Formation energy from raw total energies = -19.89 eV per formula unit
Final energy = -6.716 eV per atom
Space-group type = Cmcm (63)

***

PmHo2Rh | GGA-PBE | relaxed

Lattice parameters (Å, degrees): 6.351 6.351 9.439 90.00 90.00 145.30
Atoms (fractional coordinates):
Pm  0.074  0.926  0.750
Pm  0.926  0.074  0.250
Ho  0.360  0.640  0.568
Ho  0.360  0.640  0.932
Ho  0.640  0.360  0.068
Ho  0.640  0.360  0.432
Rh  0.242  0.758  0.250
Rh  0.758  0.242  0.750

Computed properties:
Final energy = -5.796 eV per atom
E_form = -1.9 eV/f.u.
Space-group type = Cmcm (63)

***

Sc3Au2 | GGA-PBE | relaxed

Lattice parameters (Å, degrees): 8.787 7.867 5.637 79.31 61.61 39.08
Atoms (fractional coordinates):
Sc  0.016  0.016  0.234
Sc  0.234  0.234  0.016
Sc  0.375  0.375  0.375
Sc  0.625  0.625  0.625
Sc  0.766  0.766  0.984
Sc  0.984  0.984  0.766
Au  0.179  0.179  0.571
Au  0.429  0.429  0.821
Au  0.571  0.571  0.179
Au  0.821  0.821  0.429

Computed properties:
Final energy = -5.646 eV per atom
E_form = -2.7 eV/f.u.
Space-group type = Fddd (70)

***

Th11Tl9Pd4 | GGA-PBE | relaxed

Lattice parameters (Å, degrees): 13.644 13.644 3.838 90.00 90.00 112.55
Atoms (fractional coordinates):
Th  0.000  0.000  0.000
Th  0.068  0.413  0.000
Th  0.157  0.843  0.000
Th  0.308  0.308  0.000
Th  0.371  0.629  0.000
Th  0.413  0.068  0.000
Th  0.587  0.932  0.000
Th  0.629  0.371  0.000
Th  0.692  0.692  0.000
Th  0.843  0.157  0.000
Th  0.932  0.587  0.000
Tl  0.073  0.217  0.500
Tl  0.156  0.633  0.500
Tl  0.217  0.073  0.500
Tl  0.367  0.844  0.500
Tl  0.500  0.500  0.500
Tl  0.633  0.156  0.500
Tl  0.783  0.927  0.500
Tl  0.844  0.367  0.500
Tl  0.927  0.783  0.500
Pd  0.251  0.451  0.500
Pd  0.451  0.251  0.500
Pd  0.549  0.749  0.500
Pd  0.749  0.549  0.500

Computed properties:
Final energy = -5.494 eV per atom
E_form = -8.2 eV/f.u.
Space-group type = Cmmm (65)

***

NaAlSbF2 | GGA-PBE | relaxed

Lattice parameters (Å, degrees): 4.479 4.479 5.807 90.00 90.00 90.00
Atoms (fractional coordinates):
Na  0.000  0.000  0.000
Al  0.500  0.500  0.000
Sb  0.500  0.500  0.500
F  0.000  0.500  0.500
F  0.500  0.000  0.500

Computed properties:
Formation energy from raw total energies = -4.91 eV per formula unit
Final energy = -3.567 eV per atom
Space-group type = P4/mmm (123)